Record 1
# MnInPt (PBE, relaxed)
data_MnInPt
_space_group_name_H-M_alt 'P 1 21/c 1'
_space_group_IT_number 14
_cell_length_a 6.491
_cell_length_b 5.324
_cell_length_c 6.808
_cell_angle_alpha 90.00
_cell_angle_beta 107.82
_cell_angle_gamma 90.00
loop_
_space_group_symop_operation_xyz
'x,y,z'
'-x,-y,-z'
'-x,y+1/2,-z+1/2'
'x,-y+1/2,z+1/2'
loop_
_atom_site_label
_atom_site_type_symbol
_atom_site_fract_x
_atom_site_fract_y
_atom_site_fract_z
Mn1 Mn 0.050 0.101 0.203
In1 In 0.320 0.626 0.117
Pt1 Pt 0.314 0.132 0.985
# ΔH_f (0 K)   -41 kJ/mol of formula units



Record 2
# MnInPt4 (PBE, relaxed)
data_MnInPt4
_space_group_name_H-M_alt 'P 4/m m m'
_space_group_IT_number 123
_space_group_name_Hall '-P 4 2'
_cell_length_a 3.888
_cell_length_b 3.888
_cell_length_c 7.353
_cell_angle_alpha 90.00
_cell_angle_beta 90.00
_cell_angle_gamma 90.00
loop_
_atom_site_label
_atom_site_type_symbol
_atom_site_fract_x
_atom_site_fract_y
_atom_site_fract_z
Mn1 Mn 0.000 0.000 0.000
In1 In 0.500 0.500 0.500
Pt1 Pt 0.000 0.500 0.228
# ΔH_f (0 K)   -93 kJ/mol of formula units



Number 1: final energy -73.51 eV per cell. Number 2: final energy -37.04 eV per cell.